! Sm3ZnHg, relaxed, DFT PBE; values from VASP
! - Calculated formation energy: -0.29 eV per atom
! - Crystal system: orthorhombic
! - Magnetization: 0.30 μB per formula unit
! - Energy: -3.44 eV/atom
&SYSTEM
  ibrav = 0, nat = 10, ntyp = 3
/
ATOMIC_SPECIES
Sm 150.36 Sm.upf
Zn 65.41 Zn.upf
Hg 200.59 Hg.upf
CELL_PARAMETERS angstrom
2.6374 -9.9219 0.0000
2.6374 9.9219 0.0000
0.0000 0.0000 5.2753
ATOMIC_POSITIONS crystal
Sm 0.0633 0.9367 0.7500
Sm 0.2494 0.7506 0.7500
Sm 0.4342 0.5658 0.7500
Sm 0.5658 0.4342 0.2500
Sm 0.7506 0.2494 0.2500
Sm 0.9367 0.0633 0.2500
Zn 0.1532 0.8468 0.2500
Zn 0.8468 0.1532 0.7500
Hg 0.3437 0.6563 0.2500
Hg 0.6563 0.3437 0.7500


! Sm7Zn2Hg2, relaxed, DFT PBE; values from VASP
! - Calculated formation energy: -0.06 eV per atom
! - Crystal system: orthorhombic
! - Magnetization: 0.00 μB per formula unit
! - Energy: -3.35 eV/atom
&SYSTEM
  ibrav = 0, nat = 11, ntyp = 3
/
ATOMIC_SPECIES
Sm 150.36 Sm.upf
Zn 65.41 Zn.upf
Hg 200.59 Hg.upf
CELL_PARAMETERS angstrom
3.8349 -5.5787 0.0000
3.8349 5.5787 0.0000
0.0000 0.0000 7.8082
ATOMIC_POSITIONS crystal
Sm 0.0000 0.0000 0.0000
Sm 0.0000 0.5000 0.2788
Sm 0.0000 0.5000 0.7212
Sm 0.5000 0.0000 0.2788
Sm 0.5000 0.0000 0.7212
Sm 0.5000 0.5000 0.2449
Sm 0.5000 0.5000 0.7551
Zn 0.2901 0.7099 0.0000
Zn 0.7099 0.2901 0.0000
Hg 0.1847 0.1847 0.5000
Hg 0.8153 0.8153 0.5000


! SmZn2Hg2, relaxed, DFT PBE; values from VASP
! - Calculated formation energy: -0.23 eV per atom
! - Crystal system: triclinic
! - Magnetization: 0.00 μB per formula unit
! - Energy: -1.81 eV/atom
&SYSTEM
  ibrav = 0, nat = 10, ntyp = 3
/
ATOMIC_SPECIES
Sm 150.36 Sm.upf
Zn 65.41 Zn.upf
Hg 200.59 Hg.upf
CELL_PARAMETERS angstrom
5.9819 0.0000 0.0000
2.9657 5.5979 0.0000
2.9902 0.7813 6.6947
ATOMIC_POSITIONS crystal
Sm 0.1534 0.2478 0.2497
Sm 0.8466 0.7522 0.7503
Zn 0.2959 0.6737 0.9396
Zn 0.4066 0.8272 0.5616
Zn 0.5934 0.1728 0.4384
Zn 0.7041 0.3263 0.0604
Hg 0.2228 0.1680 0.8243
Hg 0.2845 0.6640 0.3270
Hg 0.7155 0.3360 0.6730
Hg 0.7772 0.8320 0.1757


! Sm2Zn2Hg3, relaxed, DFT PBE; values from VASP
! - Calculated formation energy: -0.28 eV per atom
! - Crystal system: orthorhombic
! - Magnetization: 0.53 μB per formula unit
! - Energy: -2.12 eV/atom
&SYSTEM
  ibrav = 0, nat = 14, ntyp = 3
/
ATOMIC_SPECIES
Sm 150.36 Sm.upf
Zn 65.41 Zn.upf
Hg 200.59 Hg.upf
CELL_PARAMETERS angstrom
4.4628 0.0000 0.0000
0.0000 20.4737 0.0000
0.0000 0.0000 3.6578
ATOMIC_POSITIONS crystal
Sm 0.0000 0.1610 0.0000
Sm 0.0000 0.8390 0.0000
Sm 0.5000 0.3390 0.0000
Sm 0.5000 0.6610 0.0000
Zn 0.0000 0.2811 0.5000
Zn 0.0000 0.7189 0.5000
Zn 0.5000 0.2189 0.5000
Zn 0.5000 0.7811 0.5000
Hg 0.0000 0.0000 0.0000
Hg 0.0000 0.4233 0.5000
Hg 0.0000 0.5767 0.5000
Hg 0.5000 0.0767 0.5000
Hg 0.5000 0.5000 0.0000
Hg 0.5000 0.9233 0.5000


! SmZnHg2, relaxed, DFT PBE; values from VASP
! - Calculated formation energy: -0.30 eV per atom
! - Crystal system: orthorhombic
! - Magnetization: 0.00 μB per formula unit
! - Energy: -1.95 eV/atom
&SYSTEM
  ibrav = 0, nat = 16, ntyp = 3
/
ATOMIC_SPECIES
Sm 150.36 Sm.upf
Zn 65.41 Zn.upf
Hg 200.59 Hg.upf
CELL_PARAMETERS angstrom
2.2777 -8.6438 0.0000
2.2777 8.6438 0.0000
0.0000 0.0000 9.5629
ATOMIC_POSITIONS crystal
Sm 0.0000 0.0000 0.0000
Sm 0.0000 0.0000 0.5000
Sm 0.1979 0.8021 0.7500
Sm 0.8021 0.1979 0.2500
Zn 0.3573 0.6427 0.0251
Zn 0.3573 0.6427 0.4749
Zn 0.6427 0.3573 0.5251
Zn 0.6427 0.3573 0.9749
Hg 0.1943 0.8057 0.0928
Hg 0.1943 0.8057 0.4072
Hg 0.3976 0.6024 0.7500
Hg 0.4424 0.5576 0.2500
Hg 0.5576 0.4424 0.7500
Hg 0.6024 0.3976 0.2500
Hg 0.8057 0.1943 0.5928
Hg 0.8057 0.1943 0.9072


! Sm3Zn4Hg2, relaxed, DFT PBE; values from VASP
! - Calculated formation energy: -0.39 eV per atom
! - Crystal system: monoclinic
! - Magnetization: 0.00 μB per formula unit
! - Energy: -2.60 eV/atom
&SYSTEM
  ibrav = 0, nat = 9, ntyp = 3
/
ATOMIC_SPECIES
Sm 150.36 Sm.upf
Zn 65.41 Zn.upf
Hg 200.59 Hg.upf
CELL_PARAMETERS angstrom
5.4023 -2.3476 0.0000
5.4023 2.3476 0.0000
-3.6967 0.0000 8.0323
ATOMIC_POSITIONS crystal
Sm 0.0000 0.0000 0.0000
Sm 0.3332 0.3332 0.3301
Sm 0.6668 0.6668 0.6699
Zn 0.0501 0.0501 0.3910
Zn 0.2709 0.2709 0.9478
Zn 0.7291 0.7291 0.0522
Zn 0.9499 0.9499 0.6090
Hg 0.3878 0.3878 0.7226
Hg 0.6122 0.6122 0.2774


! SmZnHg, relaxed, DFT PBE; values from VASP
! - Calculated formation energy: -0.40 eV per atom
! - Crystal system: hexagonal
! - Magnetization: 0.00 μB per formula unit
! - Energy: -2.50 eV/atom
&SYSTEM
  ibrav = 0, nat = 3, ntyp = 3
/
ATOMIC_SPECIES
Sm 150.36 Sm.upf
Zn 65.41 Zn.upf
Hg 200.59 Hg.upf
CELL_PARAMETERS angstrom
4.7286 0.0000 0.0000
-2.3643 4.0951 0.0000
0.0000 0.0000 3.6219
ATOMIC_POSITIONS crystal
Sm 0.0000 0.0000 0.0000
Zn 0.6667 0.3333 0.5000
Hg 0.3333 0.6667 0.5000


! SmZnHg4, relaxed, DFT PBE; values from VASP
! - Calculated formation energy: -0.18 eV per atom
! - Crystal system: monoclinic
! - Magnetization: 0.00 μB per formula unit
! - Energy: -1.38 eV/atom
&SYSTEM
  ibrav = 0, nat = 12, ntyp = 3
/
ATOMIC_SPECIES
Sm 150.36 Sm.upf
Zn 65.41 Zn.upf
Hg 200.59 Hg.upf
CELL_PARAMETERS angstrom
5.4822 0.0000 0.0000
0.0000 6.6616 0.0000
-0.1604 0.0000 7.9058
ATOMIC_POSITIONS crystal
Sm 0.1538 0.2500 0.1463
Sm 0.8462 0.7500 0.8537
Zn 0.0000 0.0000 0.5000
Zn 0.0000 0.5000 0.5000
Hg 0.1611 0.7500 0.2177
Hg 0.3373 0.5028 0.8227
Hg 0.3373 0.9972 0.8227
Hg 0.4533 0.2500 0.4871
Hg 0.5467 0.7500 0.5129
Hg 0.6627 0.0028 0.1773
Hg 0.6627 0.4972 0.1773
Hg 0.8389 0.2500 0.7823


! SmZnHg2, relaxed, DFT PBE; values from VASP
! - Calculated formation energy: -0.21 eV per atom
! - Crystal system: orthorhombic
! - Magnetization: 0.00 μB per formula unit
! - Energy: -1.86 eV/atom
&SYSTEM
  ibrav = 0, nat = 16, ntyp = 3
/
ATOMIC_SPECIES
Sm 150.36 Sm.upf
Zn 65.41 Zn.upf
Hg 200.59 Hg.upf
CELL_PARAMETERS angstrom
8.7939 0.0000 0.0000
0.0000 9.2026 0.0000
0.0000 0.0000 4.9877
ATOMIC_POSITIONS crystal
Sm 0.0000 0.1692 0.2500
Sm 0.0000 0.8308 0.7500
Sm 0.5000 0.3308 0.7500
Sm 0.5000 0.6692 0.2500
Zn 0.0000 0.5000 0.0000
Zn 0.0000 0.5000 0.5000
Zn 0.5000 0.0000 0.0000
Zn 0.5000 0.0000 0.5000
Hg 0.2185 0.1193 0.7500
Hg 0.2185 0.8807 0.2500
Hg 0.2815 0.3807 0.2500
Hg 0.2815 0.6193 0.7500
Hg 0.7185 0.3807 0.2500
Hg 0.7185 0.6193 0.7500
Hg 0.7815 0.1193 0.7500
Hg 0.7815 0.8807 0.2500


! Sm6ZnHg5, relaxed, DFT PBE; values from VASP
! - Calculated formation energy: -0.44 eV per atom
! - Crystal system: orthorhombic
! - Magnetization: 2.26 μB per formula unit
! - Energy: -3.03 eV/atom
&SYSTEM
  ibrav = 0, nat = 12, ntyp = 3
/
ATOMIC_SPECIES
Sm 150.36 Sm.upf
Zn 65.41 Zn.upf
Hg 200.59 Hg.upf
CELL_PARAMETERS angstrom
2.6588 -7.9814 0.0000
2.6588 7.9814 0.0000
0.0000 0.0000 7.5890
ATOMIC_POSITIONS crystal
Sm 0.0000 0.0000 0.2439
Sm 0.0000 0.0000 0.7561
Sm 0.3357 0.6643 0.2462
Sm 0.3357 0.6643 0.7538
Sm 0.6643 0.3357 0.2462
Sm 0.6643 0.3357 0.7538
Zn 0.5000 0.5000 0.0000
Hg 0.1655 0.8345 0.0000
Hg 0.1670 0.8330 0.5000
Hg 0.5000 0.5000 0.5000
Hg 0.8330 0.1670 0.5000
Hg 0.8345 0.1655 0.0000


! Sm3Zn2Hg6, relaxed, DFT PBE; values from VASP
! - Calculated formation energy: -0.22 eV per atom
! - Crystal system: tetragonal
! - Magnetization: 0.00 μB per formula unit
! - Energy: -1.90 eV/atom
&SYSTEM
  ibrav = 0, nat = 11, ntyp = 3
/
ATOMIC_SPECIES
Sm 150.36 Sm.upf
Zn 65.41 Zn.upf
Hg 200.59 Hg.upf
CELL_PARAMETERS angstrom
-2.1240 2.1240 15.5317
2.1240 -2.1240 15.5317
2.1240 2.1240 -15.5317
ATOMIC_POSITIONS crystal
Sm 0.0000 0.0000 0.0000
Sm 0.1715 0.1715 0.0000
Sm 0.8285 0.8285 0.0000
Zn 0.3612 0.3612 0.0000
Zn 0.6388 0.6388 0.0000
Hg 0.0778 0.5778 0.5000
Hg 0.2737 0.2737 0.0000
Hg 0.4222 0.9222 0.5000
Hg 0.5778 0.0778 0.5000
Hg 0.7263 0.7263 0.0000
Hg 0.9222 0.4222 0.5000


! SmZrHg, relaxed, DFT PBE; values from VASP
! - Calculated formation energy: -0.20 eV per atom
! - Crystal system: orthorhombic
! - Magnetization: 0.00 μB per formula unit
! - Energy: -4.73 eV/atom
&SYSTEM
  ibrav = 0, nat = 12, ntyp = 3
/
ATOMIC_SPECIES
Sm 150.36 Sm.upf
Zr 91.22 Zr.upf
Hg 200.59 Hg.upf
CELL_PARAMETERS angstrom
3.4277 0.0000 0.0000
0.0000 16.9041 0.0000
0.0000 0.0000 5.3054
ATOMIC_POSITIONS crystal
Sm 0.0000 0.0989 0.2500
Sm 0.0000 0.9011 0.7500
Sm 0.5000 0.4011 0.7500
Sm 0.5000 0.5989 0.2500
Zr 0.0000 0.2256 0.7500
Zr 0.0000 0.7744 0.2500
Zr 0.5000 0.2744 0.2500
Zr 0.5000 0.7256 0.7500
Hg 0.0000 0.4356 0.2500
Hg 0.0000 0.5644 0.7500
Hg 0.5000 0.0644 0.7500
Hg 0.5000 0.9356 0.2500